A relaxed HfAlV crystal, computed with GGA-PBE.

Lattice parameters (Å, degrees): 2.763 2.763 7.724 100.30 100.30 90.00
Sites, in units of the cell vectors:
Hf 0.126 0.126 0.253
V 0.947 0.947 0.895
Al 0.776 0.776 0.552

Properties
**Formation energy**: 660 meV/atom
**Energy**: -0.510 Ry per atom
**Density**: 7.5 g/cm3